[1]
## SrBeMo2 (GGA-PBE)

Data for a relaxed SrBeMo2 crystal.

## Properties
Total magnetization, μB/f.u.: 0.00
Formation enthalpy at 0 K, eV per formula unit: 4.59

a = 5.5516 Å, b = 5.5516 Å, c = 5.5516 Å
α = 138.44°, β = 138.44°, γ = 60.23°
Closest atoms and distances in Å follow each position.
Atoms (fractional coordinates):
Sr1 0.2500 0.7500 0.5000  4 Be 2.79, 8 Mo 3.11
Mo1 0.0000 0.0000 0.0000  4 Mo 2.79, 4 Be 3.11, 4 Sr 3.11
Mo2 0.5000 0.5000 0.0000  4 Mo 2.79, 4 Sr 3.11, 4 Be 3.11
Be1 0.7500 0.2500 0.5000  4 Sr 2.79, 8 Mo 3.11

[2]
## SrBeMo2 (GGA-PBE)

Data for a relaxed SrBeMo2 crystal.

## Properties
Total magnetization, μB/f.u.: 0.00
Formation enthalpy at 0 K, eV per formula unit: 2.82

a = 4.2127 Å, b = 3.4138 Å, c = 6.2780 Å
α = 75.53°, β = 90.00°, γ = 90.00°
Closest atoms and distances in Å follow each position.
Atoms (fractional coordinates):
Sr1 0.5000 0.2500 0.2500  2 Be 3.18, 2 Sr 3.41, 8 Mo 3.46-3.53
Mo1 0.0000 0.9381 0.8879  2 Mo 2.39-2.40, 2 Be 2.42
Mo2 0.0000 0.5619 0.6121  2 Mo 2.39-2.40, 2 Be 2.42
Be1 0.5000 0.7500 0.7500  4 Mo 2.42

[3]
## SrBeMo2 (GGA-PBE)

Data for a relaxed SrBeMo2 crystal.

## Properties
Total magnetization, μB/f.u.: 0.00
Formation enthalpy at 0 K, eV per formula unit: 2.94

a = 2.8521 Å, b = 2.8521 Å, c = 9.0448 Å
α = 90.00°, β = 90.00°, γ = 105.61°
Closest atoms and distances in Å follow each position.
Atoms (fractional coordinates):
Sr1 0.0000 0.0000 0.5192  4 Sr 2.85, 2 Be 3.02
Mo1 0.0000 0.0000 0.9785  2 Be 2.41
Mo2 0.5000 0.5000 0.2095  6 Mo 2.71-2.85
Be1 0.5000 0.5000 0.7927  2 Mo 2.41

[4]
## SrBeMo (GGA-PBE)

Data for a relaxed SrBeMo crystal.

## Properties
Excess energy over the best structure of this formula in the dataset, eV/f.u.: 4.17
Total magnetization, μB/f.u.: 3.17
Formation enthalpy at 0 K, eV per formula unit: 6.21

a = 4.8647 Å, b = 4.8647 Å, c = 4.8647 Å
α = 60.00°, β = 60.00°, γ = 60.00°
Closest atoms and distances in Å follow each position.
Atoms (fractional coordinates):
Sr1 0.2500 0.2500 0.2500  4 Mo 2.98, 4 Be 2.98
Mo1 0.5000 0.5000 0.5000  4 Sr 2.98
Be1 0.0000 0.0000 0.0000  4 Sr 2.98

Copy entry 2 word for word.
## SrBeMo2 (GGA-PBE)

Data for a relaxed SrBeMo2 crystal.

## Properties
Total magnetization, μB/f.u.: 0.00
Formation enthalpy at 0 K, eV per formula unit: 2.82

a = 4.2127 Å, b = 3.4138 Å, c = 6.2780 Å
α = 75.53°, β = 90.00°, γ = 90.00°
Closest atoms and distances in Å follow each position.
Atoms (fractional coordinates):
Sr1 0.5000 0.2500 0.2500  2 Be 3.18, 2 Sr 3.41, 8 Mo 3.46-3.53
Mo1 0.0000 0.9381 0.8879  2 Mo 2.39-2.40, 2 Be 2.42
Mo2 0.0000 0.5619 0.6121  2 Mo 2.39-2.40, 2 Be 2.42
Be1 0.5000 0.7500 0.7500  4 Mo 2.42

total magnetization of number 3 (SrBeMo2)?
0.00 μB/f.u.

Copy entry 2 word for word.
## SrBeMo2 (GGA-PBE)

Data for a relaxed SrBeMo2 crystal.

## Properties
Total magnetization, μB/f.u.: 0.00
Formation enthalpy at 0 K, eV per formula unit: 2.82

a = 4.2127 Å, b = 3.4138 Å, c = 6.2780 Å
α = 75.53°, β = 90.00°, γ = 90.00°
Closest atoms and distances in Å follow each position.
Atoms (fractional coordinates):
Sr1 0.5000 0.2500 0.2500  2 Be 3.18, 2 Sr 3.41, 8 Mo 3.46-3.53
Mo1 0.0000 0.9381 0.8879  2 Mo 2.39-2.40, 2 Be 2.42
Mo2 0.0000 0.5619 0.6121  2 Mo 2.39-2.40, 2 Be 2.42
Be1 0.5000 0.7500 0.7500  4 Mo 2.42